Record 1
Eu3Sn5S12 | PBE | optimized geometry

Values from the calculation:
The uncorrected energy is -5.917 eV per atom. The value obtained for the density of states at the Fermi level is 32.5 states/eV/f.u. The space-group type is Ia-3d. The calculation puts the uncorrected formation energy at -0.90 eV per atom.

Geometry as CIF:
```
data_Eu3Sn5S12
_cell_length_a 13.9824
_cell_length_b 13.9824
_cell_length_c 13.9824
_cell_angle_alpha 109.47
_cell_angle_beta 109.47
_cell_angle_gamma 109.47
_symmetry_space_group_name_H-M 'P 1'
_symmetry_Int_Tables_number 1
_symmetry_space_group_name_Hall 'P 1'
loop_
_atom_site_label
_atom_site_type_symbol
_atom_site_fract_x
_atom_site_fract_y
_atom_site_fract_z
S1 S 0.4110 0.2821 0.3195
S2 S 0.4626 0.6805 0.0914
S3 S 0.2179 0.6805 0.0890
S4 S 0.8711 0.2821 0.4626
S5 S 0.9086 0.0890 0.8711
S6 S 0.7179 0.5890 0.1805
S7 S 0.1805 0.0890 0.7179
S8 S 0.1289 0.7179 0.5374
S9 S 0.4086 0.0374 0.3195
S10 S 0.4110 0.1289 0.5914
S11 S 0.3195 0.7821 0.4110
S12 S 0.5374 0.2179 0.1289
S13 S 0.0890 0.1805 0.2179
S14 S 0.5914 0.9626 0.6805
S15 S 0.7821 0.4626 0.3711
S16 S 0.5914 0.6289 0.4110
S17 S 0.6805 0.2179 0.5890
S18 S 0.4086 0.3711 0.5890
S19 S 0.6805 0.4626 0.5914
S20 S 0.5890 0.8711 0.4086
S21 S 0.9626 0.3711 0.2821
S22 S 0.3711 0.4086 0.0890
S23 S 0.0890 0.9086 0.3711
S24 S 0.8195 0.9110 0.2821
S25 S 0.1289 0.4110 0.0914
S26 S 0.0914 0.1805 0.4626
S27 S 0.8195 0.9086 0.0374
S28 S 0.0374 0.6289 0.7179
S29 S 0.9626 0.5914 0.1805
S30 S 0.1805 0.0914 0.9626
S31 S 0.2821 0.4110 0.8195
S32 S 0.4626 0.7821 0.8711
S33 S 0.6289 0.0374 0.2179
S34 S 0.7179 0.1289 0.0374
S35 S 0.3711 0.9626 0.7821
S36 S 0.5890 0.7179 0.6805
S37 S 0.2179 0.5374 0.6289
S38 S 0.9110 0.0914 0.6289
S39 S 0.9086 0.8195 0.5374
S40 S 0.5374 0.3195 0.9086
S41 S 0.8711 0.5890 0.9086
S42 S 0.7821 0.3195 0.9110
S43 S 0.6289 0.5914 0.9110
S44 S 0.0374 0.4086 0.8195
S45 S 0.0914 0.9110 0.1289
S46 S 0.3195 0.5374 0.4086
S47 S 0.2821 0.8711 0.9626
S48 S 0.9110 0.8195 0.7821
Eu1 Eu 0.3750 0.7500 0.6250
Eu2 Eu 0.8750 0.1250 0.2500
Eu3 Eu 0.6250 0.3750 0.7500
Eu4 Eu 0.2500 0.6250 0.8750
Eu5 Eu 0.6250 0.2500 0.3750
Eu6 Eu 0.2500 0.1250 0.3750
Eu7 Eu 0.1250 0.8750 0.7500
Eu8 Eu 0.7500 0.3750 0.1250
Eu9 Eu 0.7500 0.8750 0.6250
Eu10 Eu 0.1250 0.2500 0.8750
Eu11 Eu 0.3750 0.6250 0.2500
Eu12 Eu 0.8750 0.7500 0.1250
Sn1 Sn 0.0000 0.0000 0.5000
Sn2 Sn 0.7500 0.1250 0.8750
Sn3 Sn 0.2500 0.8750 0.1250
Sn4 Sn 0.6250 0.7500 0.8750
Sn5 Sn 0.5000 0.0000 0.0000
Sn6 Sn 0.2500 0.3750 0.6250
Sn7 Sn 0.0000 0.5000 0.5000
Sn8 Sn 0.0000 0.5000 0.0000
Sn9 Sn 0.3750 0.2500 0.1250
Sn10 Sn 0.8750 0.6250 0.7500
Sn11 Sn 0.0000 0.0000 0.0000
Sn12 Sn 0.7500 0.6250 0.3750
Sn13 Sn 0.3750 0.1250 0.7500
Sn14 Sn 0.5000 0.5000 0.0000
Sn15 Sn 0.5000 0.0000 0.5000
Sn16 Sn 0.1250 0.3750 0.2500
Sn17 Sn 0.6250 0.8750 0.2500
Sn18 Sn 0.8750 0.2500 0.6250
Sn19 Sn 0.1250 0.7500 0.3750
Sn20 Sn 0.5000 0.5000 0.5000
```

***

Record 2
Eu2SnS | PBE | optimized geometry

Values from the calculation:
The uncorrected energy is -8.456 eV per atom. The value obtained for the density of states at the Fermi level is 18.7 states/eV/f.u. The space-group type is R-3m. The calculation puts the uncorrected formation energy at -1.29 eV per atom.

Geometry as CIF:
```
data_Eu2SnS
_cell_length_a 4.0660
_cell_length_b 4.0660
_cell_length_c 8.5821
_cell_angle_alpha 76.30
_cell_angle_beta 76.30
_cell_angle_gamma 60.00
_symmetry_space_group_name_H-M 'P 1'
_symmetry_Int_Tables_number 1
_symmetry_space_group_name_Hall 'P 1'
loop_
_atom_site_label
_atom_site_type_symbol
_atom_site_fract_x
_atom_site_fract_y
_atom_site_fract_z
Eu1 Eu 0.7360 0.7360 0.7920
Eu2 Eu 0.2640 0.2640 0.2080
Sn1 Sn 0.5000 0.5000 0.5000
S1 S 0.0000 0.0000 0.0000
```

***

- Which of these has the highest uncorrected energy?
  Eu3Sn5S12